Crystalline YZrTa2 at its relaxed geometry, computed with PBEsol.

## Properties
energy above the most stable polymorph in this dataset	0.175	eV/atom
volume	83	Å³/f.u.
DOS at the Fermi energy	7.89	states/eV per cell
ΔE_f	1.92	eV/f.u.
total moment	0.0	μB per cell

Cell and atoms, written as extended XYZ:
```
4
Lattice="4.896 0.000 0.000 2.448 4.240 0.000 2.448 1.413 3.997" Properties=species:S:1:pos:R:3 pbc="T T T"
Ta 7.344 4.240 2.998
Ta 2.448 1.413 0.999
Y 0.000 0.000 0.000
Zr 4.896 2.827 1.999
```

---

Crystalline YZr2Ta at its relaxed geometry, computed with PBEsol.

## Properties
energy above the most stable polymorph in this dataset	0.055	eV/atom
volume	90	Å³/f.u.
DOS at the Fermi energy	6.18	states/eV per cell
ΔE_f	1.01	eV/f.u.
total moment	0.0	μB per cell

Cell and atoms, written as extended XYZ:
```
4
Lattice="-1.134 -2.035 -2.125 1.008 -2.987 -0.016 -7.699 -4.295 5.884" Properties=species:S:1:pos:R:3 pbc="T T T"
Ta -3.912 -4.659 1.872
Y 0.000 0.000 0.000
Zr -2.123 -2.386 1.079
Zr -5.702 -6.931 2.664
```

---

Crystalline YZrTa2 at its relaxed geometry, computed with PBEsol.

## Properties
energy above the most stable polymorph in this dataset	0.000	eV/atom
volume	85	Å³/f.u.
DOS at the Fermi energy	4.99	states/eV per cell
ΔE_f	1.22	eV/f.u.
total moment	0.0	μB per cell

Cell and atoms, written as extended XYZ:
```
4
Lattice="-2.627 1.119 -1.998 -2.704 -3.907 1.367 0.865 3.974 4.127" Properties=species:S:1:pos:R:3 pbc="T T T"
Ta -0.094 0.135 0.200
Ta -2.123 1.719 0.714
Y -1.766 2.531 3.739
Zr -2.283 -0.620 2.654
```

---

Crystalline YZrTa at its relaxed geometry, computed with PBEsol.

## Properties
energy above the most stable polymorph in this dataset	0.671	eV/atom
volume	75	Å³/f.u.
DOS at the Fermi energy	5.00	states/eV per cell
ΔE_f	2.72	eV/f.u.
total moment	0.0	μB per cell

Cell and atoms, written as extended XYZ:
```
3
Lattice="-1.712 4.396 -0.489 -3.284 1.615 3.016 1.127 3.349 3.163" Properties=species:S:1:pos:R:3 pbc="T T T"
Ta -2.902 7.020 4.268
Y 0.000 0.000 0.000
Zr -1.935 4.680 2.845
```

---

Crystalline TaZn3 at its relaxed geometry, computed with PBEsol.

## Properties
volume	58	Å³/f.u.
DOS at the Fermi energy	1.22	states/eV per cell
ΔE_f	-0.35	eV/f.u.
total moment	0.0	μB per cell

Cell and atoms, written as extended XYZ:
```
4
Lattice="3.868 0.000 0.000 0.000 3.868 0.000 0.000 0.000 3.868" Properties=species:S:1:pos:R:3 pbc="T T T"
Zn 0.000 1.934 1.934
Zn 1.934 0.000 1.934
Zn 1.934 1.934 0.000
Ta 0.000 0.000 0.000
```

---

Crystalline Ta3Zn at its relaxed geometry, computed with PBEsol.

## Properties
volume	66	Å³/f.u.
DOS at the Fermi energy	6.58	states/eV per cell
ΔE_f	0.08	eV/f.u.
total moment	0.0	μB per cell

Cell and atoms, written as extended XYZ:
```
8
Lattice="4.632 0.000 0.000 0.000 5.598 -0.003 0.000 -2.257 5.123" Properties=species:S:1:pos:R:3 pbc="T T T"
Zn 1.158 2.919 1.746
Zn 3.474 0.423 3.375
Ta 3.474 1.703 0.815
Ta 3.474 4.546 0.684
Ta 1.158 0.060 1.887
Ta 3.474 3.281 3.234
Ta 1.158 -1.205 4.437
Ta 1.158 1.639 4.306
```

---

Crystalline Ta3Zn at its relaxed geometry, computed with PBEsol.

## Properties
volume	68	Å³/f.u.
DOS at the Fermi energy	3.39	states/eV per cell
ΔE_f	0.56	eV/f.u.
total moment	0.0	μB per cell

Cell and atoms, written as extended XYZ:
```
4
Lattice="-2.276 -0.180 -1.689 2.373 -3.485 -2.826 -2.643 -2.111 3.784" Properties=species:S:1:pos:R:3 pbc="T T T"
Ta 0.000 0.000 0.000
Ta -2.459 -1.145 1.047
Ta 0.049 -1.832 -2.257
Zn -0.135 -2.798 0.479
```

---

Crystalline TaZn22 at its relaxed geometry, computed with PBEsol.

## Properties
volume	325	Å³/f.u.
DOS at the Fermi energy	6.92	states/eV per cell
ΔE_f	-0.08	eV/f.u.
total moment	0.0	μB per cell

Cell and atoms, written as extended XYZ:
```
46
Lattice="9.720 0.000 0.000 4.860 8.418 0.000 4.860 2.806 7.936" Properties=species:S:1:pos:R:3 pbc="T T T"
Ta 4.860 2.806 1.984
Ta 0.000 0.000 0.000
Zn 7.353 2.782 3.519
Zn 10.987 9.076 3.519
Zn 12.087 4.245 1.450
Zn 8.453 6.343 7.384
Zn 12.087 2.782 3.519
Zn 8.453 9.076 3.519
Zn 10.987 6.343 7.384
Zn 7.353 4.245 1.450
Zn 9.720 4.149 7.384
Zn 9.720 8.345 1.450
Zn 6.086 4.977 3.519
Zn 13.354 4.977 3.519
Zn 13.313 4.953 6.401
Zn 12.087 2.830 6.401
Zn 7.353 6.978 0.534
Zn 6.127 7.686 2.536
Zn 10.946 9.053 6.401
Zn 8.494 9.053 6.401
Zn 9.720 1.463 2.536
Zn 9.720 2.879 0.534
Zn 13.313 7.686 2.536
Zn 12.087 6.978 0.534
Zn 6.127 4.953 6.401
Zn 7.353 2.830 6.401
Zn 15.945 9.206 4.837
Zn 13.215 7.629 7.067
Zn 14.580 9.994 7.067
Zn 14.580 6.841 4.837
Zn 13.215 9.206 4.837
Zn 15.945 7.629 7.067
Zn 9.720 7.188 5.083
Zn 9.720 4.035 2.853
Zn 11.085 6.400 2.853
Zn 8.355 4.824 5.083
Zn 11.085 4.824 5.083
Zn 8.355 6.400 2.853
Zn 4.860 5.612 0.992
Zn 2.430 1.403 0.992
Zn 4.860 2.806 4.960
Zn 7.290 1.403 0.992
Zn 9.720 2.806 4.960
Zn 12.150 7.015 4.960
Zn 9.720 5.612 0.992
Zn 7.290 7.015 4.960
```

---

Crystalline Ta3Zn at its relaxed geometry, computed with PBEsol.

## Properties
volume	67	Å³/f.u.
DOS at the Fermi energy	3.02	states/eV per cell
ΔE_f	0.33	eV/f.u.
total moment	0.0	μB per cell

Cell and atoms, written as extended XYZ:
```
4
Lattice="-0.271 -2.674 0.511 3.638 -0.197 -3.987 1.723 1.682 4.834" Properties=species:S:1:pos:R:3 pbc="T T T"
Ta 2.545 -0.595 0.679
Ta 0.862 0.841 2.417
Ta 1.819 -0.098 -1.994
Zn -0.135 -1.337 0.255
```

---

Crystalline TaZn at its relaxed geometry, computed with PBEsol.

## Properties
volume	32	Å³/f.u.
DOS at the Fermi energy	1.66	states/eV per cell
ΔE_f	-0.01	eV/f.u.
total moment	0.0	μB per cell

Cell and atoms, written as extended XYZ:
```
4
Lattice="2.767 0.018 0.000 -0.522 2.717 0.000 0.000 0.000 8.432" Properties=species:S:1:pos:R:3 pbc="T T T"
Zn 0.300 2.042 5.167
Zn 1.945 0.693 3.264
Ta 0.300 2.042 1.139
Ta 1.945 0.693 7.292
```

---

Crystalline TaZn at its relaxed geometry, computed with PBEsol.

## Properties
volume	31	Å³/f.u.
DOS at the Fermi energy	2.22	states/eV per cell
ΔE_f	0.01	eV/f.u.
total moment	0.0	μB per cell

Cell and atoms, written as extended XYZ:
```
4
Lattice="-1.461 1.120 -2.079 -2.333 -0.304 1.475 1.079 7.399 3.230" Properties=species:S:1:pos:R:3 pbc="T T T"
Zn -0.074 5.062 0.926
Zn -0.744 2.746 2.003
Ta -0.577 1.615 -0.579
Ta -0.241 6.193 3.507
```

---

Crystalline TaZn at its relaxed geometry, computed with PBEsol.

## Properties
volume	31	Å³/f.u.
DOS at the Fermi energy	1.75	states/eV per cell
ΔE_f	0.12	eV/f.u.
total moment	0.0	μB per cell

Cell and atoms, written as extended XYZ:
```
4
Lattice="-0.844 -2.843 0.049 0.399 -0.039 4.639 -4.094 2.728 -1.961" Properties=species:S:1:pos:R:3 pbc="T T T"
Ta -3.627 -0.445 1.477
Ta -0.910 0.291 1.249
Zn -3.208 0.937 -0.884
Zn -1.330 -1.091 3.611
```

---

Crystalline Ta3Zn4 at its relaxed geometry, computed with PBEsol.

## Properties
volume	107	Å³/f.u.
DOS at the Fermi energy	3.28	states/eV per cell
ΔE_f	-0.08	eV/f.u.
total moment	0.0	μB per cell

Cell and atoms, written as extended XYZ:
```
7
Lattice="2.804 0.000 0.000 0.000 2.804 0.000 -1.402 -1.402 13.631" Properties=species:S:1:pos:R:3 pbc="T T T"
Zn 0.000 0.000 3.674
Zn 0.000 0.000 11.665
Zn 1.402 1.402 1.965
Zn 1.402 1.402 9.956
Ta 0.000 0.000 0.000
Ta 0.000 0.000 7.984
Ta 1.402 1.402 5.646
```

---

Crystalline TaZn at its relaxed geometry, computed with PBEsol.

## Properties
volume	31	Å³/f.u.
DOS at the Fermi energy	0.64	states/eV per cell
ΔE_f	-0.01	eV/f.u.
total moment	0.0	μB per cell

Cell and atoms, written as extended XYZ:
```
2
Lattice="-2.281 -1.627 0.249 1.471 -2.206 -0.940 1.029 -0.879 3.675" Properties=species:S:1:pos:R:3 pbc="T T T"
Zn 0.110 -2.356 1.492
Ta 0.000 0.000 0.000
```

---

Crystalline TaZn3 at its relaxed geometry, computed with PBEsol.

## Properties
volume	60	Å³/f.u.
DOS at the Fermi energy	2.07	states/eV per cell
ΔE_f	0.24	eV/f.u.
total moment	0.0	μB per cell

Cell and atoms, written as extended XYZ:
```
4
Lattice="-2.307 0.231 1.500 0.253 -4.077 1.017 3.356 1.155 3.792" Properties=species:S:1:pos:R:3 pbc="T T T"
Ta 0.000 0.000 0.000
Zn 1.717 -1.072 3.984
Zn 0.525 0.693 2.646
Zn -0.415 -1.619 2.325
```

---

Crystalline Ta2Zn at its relaxed geometry, computed with PBEsol.

## Properties
volume	49	Å³/f.u.
DOS at the Fermi energy	9.29	states/eV per cell
ΔE_f	0.09	eV/f.u.
total moment	0.0	μB per cell

Cell and atoms, written as extended XYZ:
```
12
Lattice="-2.106 0.118 3.338 -3.339 0.038 -2.108 2.421 -12.596 -0.361" Properties=species:S:1:pos:R:3 pbc="T T T"
Ta -2.871 -6.121 0.741
Ta -0.152 -6.319 0.128
Ta -1.353 -12.400 1.922
Ta -1.054 0.000 1.670
Ta -2.773 -2.044 0.658
Ta -0.250 -10.397 0.211
Ta -1.255 -8.322 1.839
Ta -1.153 -4.078 1.753
Zn -2.973 -10.348 0.827
Zn -0.050 -2.093 0.042
Zn -1.770 -4.148 -0.969
Zn -1.870 -8.333 -0.884
```

---

Crystalline TaZn7 at its relaxed geometry, computed with PBEsol.

## Properties
volume	117	Å³/f.u.
DOS at the Fermi energy	1.83	states/eV per cell
ΔE_f	0.02	eV/f.u.
total moment	0.0	μB per cell

Cell and atoms, written as extended XYZ:
```
8
Lattice="5.484 0.000 0.000 2.742 4.749 0.000 2.742 1.583 4.477" Properties=species:S:1:pos:R:3 pbc="T T T"
Zn 4.113 2.374 0.000
Zn 1.371 2.374 0.000
Zn 2.742 3.166 2.239
Zn 1.371 0.791 2.239
Zn 4.113 0.791 2.239
Zn 2.742 0.000 0.000
Zn 5.484 3.166 2.239
Ta 0.000 0.000 0.000
```

---

Crystalline Ta2Zn at its relaxed geometry, computed with PBEsol.

## Properties
volume	49	Å³/f.u.
DOS at the Fermi energy	2.37	states/eV per cell
ΔE_f	0.09	eV/f.u.
total moment	0.0	μB per cell

Cell and atoms, written as extended XYZ:
```
6
Lattice="4.562 0.000 0.000 -2.281 3.950 0.000 0.000 0.000 5.395" Properties=species:S:1:pos:R:3 pbc="T T T"
Zn 0.000 2.634 4.046
Zn 2.281 1.317 1.349
Ta 0.000 0.000 0.000
Ta 0.000 0.000 2.698
Ta 2.281 1.317 4.046
Ta 0.000 2.634 1.349
```

---

Crystalline Ta8Zn at its relaxed geometry, computed with PBEsol.

## Properties
volume	156	Å³/f.u.
DOS at the Fermi energy	8.19	states/eV per cell
ΔE_f	0.18	eV/f.u.
total moment	0.0	μB per cell

Cell and atoms, written as extended XYZ:
```
9
Lattice="3.380 0.000 0.000 1.690 6.786 0.000 1.690 0.000 6.786" Properties=species:S:1:pos:R:3 pbc="T T T"
Ta 1.690 0.000 2.243
Ta 3.380 0.000 4.542
Ta 3.380 2.246 2.246
Ta 1.690 2.243 0.000
Ta 1.690 2.246 4.540
Ta 3.380 4.542 0.000
Ta 3.380 4.540 4.540
Ta 1.690 4.540 2.246
Zn 0.000 0.000 0.000
```

---

Crystalline Ta5Zn at its relaxed geometry, computed with PBEsol.

## Properties
volume	102	Å³/f.u.
DOS at the Fermi energy	6.10	states/eV per cell
ΔE_f	0.27	eV/f.u.
total moment	0.0	μB per cell

Cell and atoms, written as extended XYZ:
```
6
Lattice="3.422 0.000 0.000 0.000 4.474 0.000 -1.711 0.000 6.669" Properties=species:S:1:pos:R:3 pbc="T T T"
Zn 1.711 0.000 0.000
Ta 1.711 2.237 2.196
Ta 1.711 0.000 4.491
Ta 0.000 2.237 0.000
Ta 0.000 0.000 2.178
Ta 0.000 2.237 4.473
```

---

Crystalline Ta6Zn7 at its relaxed geometry, computed with PBEsol.

## Properties
volume	195	Å³/f.u.
DOS at the Fermi energy	6.58	states/eV per cell
ΔE_f	-1.52	eV/f.u.
total moment	0.0	μB per cell

Cell and atoms, written as extended XYZ:
```
13
Lattice="4.991 0.000 0.000 2.496 4.323 0.000 2.496 1.441 9.058" Properties=species:S:1:pos:R:3 pbc="T T T"
Ta 7.487 4.323 4.479
Ta 2.496 1.441 4.579
Ta 4.991 2.882 0.468
Ta 4.991 2.882 8.590
Ta 4.991 2.882 3.290
Ta 4.991 2.882 5.768
Zn 0.000 0.000 0.000
Zn 7.487 2.904 7.014
Zn 6.259 5.032 7.014
Zn 8.716 5.032 7.014
Zn 2.496 2.860 2.044
Zn 3.724 0.732 2.044
Zn 1.267 0.732 2.044
```

---

Crystalline Ta3Zn at its relaxed geometry, computed with PBEsol.

## Properties
volume	67	Å³/f.u.
DOS at the Fermi energy	3.53	states/eV per cell
ΔE_f	0.09	eV/f.u.
total moment	0.0	μB per cell

Cell and atoms, written as extended XYZ:
```
4
Lattice="2.777 0.006 0.000 -0.705 2.686 0.000 0.000 0.000 8.994" Properties=species:S:1:pos:R:3 pbc="T T T"
Zn 1.036 1.346 4.497
Ta 0.000 0.000 2.315
Ta 0.000 0.000 6.680
Ta 1.036 1.346 0.000
```

---

Crystalline Ta2Zn at its relaxed geometry, computed with PBEsol.

## Properties
volume	51	Å³/f.u.
DOS at the Fermi energy	3.30	states/eV per cell
ΔE_f	1.02	eV/f.u.
total moment	0.0	μB per cell

Cell and atoms, written as extended XYZ:
```
3
Lattice="2.750 0.000 0.000 0.000 4.608 0.000 0.000 -2.304 3.991" Properties=species:S:1:pos:R:3 pbc="T T T"
Ta 0.000 0.000 2.661
Ta 0.000 2.304 1.330
Zn 1.375 0.000 0.000
```

---

Crystalline TaZn3 at its relaxed geometry, computed with PBEsol.

## Properties
volume	58	Å³/f.u.
DOS at the Fermi energy	1.03	states/eV per cell
ΔE_f	-0.08	eV/f.u.
total moment	0.0	μB per cell

Cell and atoms, written as extended XYZ:
```
4
Lattice="2.839 0.000 0.000 0.000 2.839 0.000 0.000 0.000 7.215" Properties=species:S:1:pos:R:3 pbc="T T T"
Zn 0.000 0.000 3.607
Zn 1.420 1.420 1.937
Zn 1.420 1.420 5.278
Ta 0.000 0.000 0.000
```

---

Crystalline TaZn at its relaxed geometry, computed with PBEsol.

## Properties
volume	32	Å³/f.u.
DOS at the Fermi energy	3.06	states/eV per cell
ΔE_f	0.24	eV/f.u.
total moment	0.0	μB per cell

Cell and atoms, written as extended XYZ:
```
4
Lattice="-0.508 -2.159 -1.781 2.277 1.660 -0.391 5.009 -5.606 5.366" Properties=species:S:1:pos:R:3 pbc="T T T"
Ta 1.111 -1.659 -0.577
Ta 5.666 -4.445 3.772
Zn 3.487 -4.319 1.968
Zn 3.290 -1.786 1.226
```

---

Crystalline TaZn at its relaxed geometry, computed with PBEsol.

## Properties
volume	33	Å³/f.u.
DOS at the Fermi energy	3.58	states/eV per cell
ΔE_f	0.36	eV/f.u.
total moment	0.0	μB per cell

Cell and atoms, written as extended XYZ:
```
4
Lattice="-1.536 -0.716 2.945 2.951 0.401 1.636 -1.149 5.473 0.730" Properties=species:S:1:pos:R:3 pbc="T T T"
Ta -1.784 4.483 2.119
Ta 1.343 0.832 0.902
Zn -1.208 1.738 1.752
Zn 0.766 3.578 1.269
```